# 1
An optimized crystal structure of SrCaAl2Au5, computed with GGA-PBE.

The structure belongs to space group P4/mmm (No. 123); the cell edges are 4.799, 4.799 and 8.570 Å and the angles 90.00°, 90.00° and 90.00°. The asymmetric unit holds Sr at (0.000, 0.000, 0.000), Ca at (0.000, 0.000, 0.500), Al at (0.500, 0.500, 0.343), Au at (0.000, 0.500, 0.243) and Au at (0.500, 0.500, 0.000).

For the raw total energy, the calculation gives -32.62 eV for the cell shown.

# 2
An optimized crystal structure of SrCa2AlAu, computed with GGA-PBE.

The structure belongs to space group P4/mmm (No. 123); the cell edges are 5.777, 5.777 and 5.012 Å and the angles 90.00°, 90.00° and 90.00°. The asymmetric unit holds Sr at (0.000, 0.000, 0.000), Ca at (0.000, 0.500, 0.500), Al at (0.500, 0.500, 0.000) and Au at (0.500, 0.500, 0.500).

For the raw total energy, the calculation gives -14.05 eV for the cell shown.

# 3
An optimized crystal structure of CaTbAl2Au5, computed with GGA-PBE.

The structure belongs to space group P4/mmm (No. 123); the cell edges are 4.582, 4.582 and 8.745 Å and the angles 90.00°, 90.00° and 90.00°. The asymmetric unit holds Ca at (0.000, 0.000, 0.000), Tb at (0.000, 0.000, 0.500), Al at (0.500, 0.500, 0.354), Au at (0.000, 0.500, 0.232) and Au at (0.500, 0.500, 0.000).

For the raw total energy, the calculation gives -35.92 eV for the cell shown.

# 4
An optimized crystal structure of CaTiAl2Au, computed with GGA-PBE.

The structure belongs to space group P4/mmm (No. 123); the cell edges are 4.850, 4.850 and 5.423 Å and the angles 90.00°, 90.00° and 90.00°. The asymmetric unit holds Ca at (0.000, 0.000, 0.000), Ti at (0.500, 0.500, 0.000), Al at (0.000, 0.500, 0.500) and Au at (0.000, 0.000, 0.500).

For the raw total energy, the calculation gives -18.90 eV for the cell shown.

# 5
An optimized crystal structure of Ca2TmAl3Au12, computed with GGA-PBE.

The structure belongs to space group R-3m (No. 166, hexagonal axes); the cell edges are 8.7982, 8.7982 and 18.9893 Å and the angles 90.00°, 90.00° and 120.00°. The asymmetric unit holds Ca at (0.0000, 0.0000, 0.0973), Tm at (0.0000, 0.0000, 0.5000), Al at (0.0000, 0.5000, 0.0000), Au at (0.0200, 0.5100, 0.3583) and Au at (0.0283, 0.5142, 0.8674).

For the raw total energy, the calculation gives -190.17 eV for the cell shown.

# 6
An optimized crystal structure of CaTmAl2Au4, computed with GGA-PBE.

The structure belongs to space group R-3m (No. 166, hexagonal axes); the cell edges are 4.8474, 4.8474 and 23.2583 Å and the angles 90.00°, 90.00° and 120.00°. The asymmetric unit holds Ca at (0.0000, 0.0000, 0.0000), Tm at (0.0000, 0.0000, 0.5000), Al at (0.0000, 0.0000, 0.2505), Au at (0.0000, 0.0000, 0.1302) and Au at (0.0000, 0.0000, 0.3760).

For the raw total energy, the calculation gives -96.66 eV for the cell shown.

The following D(E_F) values (in states/eV per cell) correspond, in order, to the records above: 3.858; 4.139; 3.611; 5.348; 21.678; 7.515.
The following total magnetic moment values (in μB/cell) correspond, in order, to the records above: 0.00; 0.00; 0.00; 2.40; 0.00; 0.00.
The following formation energy from the elements values (in meV/atom) correspond, in order, to the records above: -563; -268; -601; 351; -242; -644.